1.
## Sr2H6IrPt (PBE-GGA)

Data for an optimized crystal structure of Sr2H6IrPt.

Properties
electronic total energy = -4.386 eV per atom
calculated density = 8.3 g/cm3

Unit cell a=5.2968 b=5.2968 c=5.5189 alpha=118.62 beta=118.62 gamma=90.03
Last column: nearest neighbours and their distance in Å.
Sites, in units of the cell vectors:
Sr  0.2500  0.7503  0.4998  12 H 2.66-2.77
Sr  0.7498  0.2505  0.4998  12 H 2.66-2.77
H  0.2420  0.7583  0.9998  1 Ir 1.81, 1 Pt 1.93
H  0.2417  0.2422  0.9984  1 Ir 1.82, 1 Pt 1.93
H  0.7874  0.7879  0.5737  1 Ir 1.73
H  0.2124  0.2129  0.4260  1 Ir 1.73
H  0.7578  0.2425  0.9998  1 Ir 1.81, 1 Pt 1.93
H  0.7581  0.7586  0.0011  1 Ir 1.82, 1 Pt 1.93
Ir  0.9999  0.0004  0.9998  6 H 1.73-1.82
Pt  0.4999  0.5004  0.9998  4 H 1.93

=====

2.
## Na2MnInI6 (PBE-GGA)

Data for an optimized crystal structure of Na2MnInI6.

Properties
calculated density = 4.3 g/cm3
ΔE_f (raw) = -721 meV/atom

Unit cell a=7.8757 b=7.8741 c=8.3504 alpha=61.86 beta=61.85 gamma=59.99
Last column: nearest neighbours and their distance in Å.
Sites, in units of the cell vectors:
Na  0.5213  0.5212  0.4363  6 I 3.23-3.31
Na  0.0148  0.0148  0.9556  6 I 3.21-3.28
In  0.8220  0.8220  0.5342  6 I 3.13-3.24
I  0.6904  0.1023  0.7722  1 Mn 2.92, 1 In 3.13, 1 Na 3.21
I  0.9640  0.5723  0.2493  1 Mn 2.87
I  0.1022  0.4353  0.7721  1 Mn 2.92, 1 In 3.13, 1 Na 3.21
I  0.2145  0.9640  0.2492  1 Mn 2.87
I  0.5723  0.2144  0.2493  1 Mn 2.88
I  0.4352  0.6904  0.7721  1 Mn 2.92, 1 In 3.13, 1 Na 3.21
Mn  0.3248  0.3250  0.0250  6 I 2.87-2.92

=====

3.
## BPRhC (PBE-GGA)

Data for an optimized crystal structure of BPRhC.

Properties
energy above the lowest structure with this stoichiometry = 62 meV/atom
calculated density = 5.6 g/cm3
DFT formation energy = 0.11 eV/atom

Unit cell a=3.2260 b=2.7940 c=5.1867 alpha=90.00 beta=95.54 gamma=90.00
Last column: nearest neighbours and their distance in Å.
Sites, in units of the cell vectors:
C  0.1779  0.5000  0.3039  2 B 1.52
P  0.0959  0.0000  0.7929  1 B 1.99
B  0.1375  0.0000  0.4132  2 C 1.52
Rh  0.6210  0.5000  0.0197  2 C 2.15-2.21

=====

4.
## Ho2BeSi2 (PBE-GGA)

Data for an optimized crystal structure of Ho2BeSi2.

Properties
calculated density = 6.9 g/cm3
ΔE_f (raw) = -658 meV/atom

Unit cell a=3.9415 b=5.5897 c=9.4193 alpha=80.81 beta=77.92 gamma=69.36
Last column: nearest neighbours and their distance in Å.
Sites, in units of the cell vectors:
Be  0.4391  0.8095  0.3124  3 Si 2.25-2.27
Be  0.5609  0.1905  0.6876  3 Si 2.25-2.27
Si  0.0374  0.3317  0.5935  2 Be 2.25, 1 Si 2.34
Si  0.6177  0.8853  0.8793  1 Be 2.27
Si  0.3823  0.1147  0.1207  1 Be 2.27
Si  0.9626  0.6683  0.4065  2 Be 2.25, 1 Si 2.34
Ho  0.7067  0.2325  0.3541  7 Si 2.95-3.09, 4 Be 3.01-3.06
Ho  0.1058  0.6914  0.0970  6 Si 2.84-3.00, 2 Be 2.90
Ho  0.2933  0.7675  0.6459  7 Si 2.95-3.09, 4 Be 3.01-3.06
Ho  0.8942  0.3086  0.9030  6 Si 2.84-3.00, 2 Be 2.90

=====

5.
## GdBeCu3 (PBE-GGA)

Data for an optimized crystal structure of GdBeCu3.

Properties
calculated density = 7.6 g/cm3
DFT formation energy = -0.02 eV/atom

Unit cell a=4.2718 b=4.2718 c=4.2718 alpha=90.00 beta=90.00 gamma=90.00
Last column: nearest neighbours and their distance in Å.
Sites, in units of the cell vectors:
Be  0.0000  0.0000  0.0000  6 Cu 2.14
Cu  0.0000  0.0000  0.5000  2 Be 2.14
Cu  0.0000  0.5000  0.0000  2 Be 2.14
Cu  0.5000  0.0000  0.0000  2 Be 2.14
Gd  0.5000  0.5000  0.5000  12 Cu 3.02

=====

6.
## Ba2LiNiI (PBE-GGA)

Data for an optimized crystal structure of Ba2LiNiI.

Properties
calculated density = 4.4 g/cm3
ΔE_f (raw) = -382 meV/atom

Unit cell a=6.0667 b=6.0667 c=4.7687 alpha=90.00 beta=90.00 gamma=90.00
Last column: nearest neighbours and their distance in Å.
Sites, in units of the cell vectors:
Ba  0.0000  0.5000  0.0000  2 Ni 3.03
Ba  0.5000  0.0000  0.0000  2 Ni 3.03
Li  0.0000  0.0000  0.5000  2 Ni 2.38
Ni  0.0000  0.0000  0.0000  2 Li 2.38
I  0.5000  0.5000  0.5000  8 Ba 3.86, 4 Li 4.29

=====

7.
## Pu2Si7Ru12 (PBE-GGA)

Data for an optimized crystal structure of Pu2Si7Ru12.

Properties
calculated density = 10.0 g/cm3
ΔE_f (raw) = -513 meV/atom

Unit cell a=3.9265 b=9.6215 c=9.6215 alpha=120.00 beta=90.00 gamma=90.00
Last column: nearest neighbours and their distance in Å.
Sites, in units of the cell vectors:
Si  0.5000  0.9386  0.3731  7 Ru 2.41-2.51
Si  0.0000  0.2238  0.2633  5 Ru 2.36-2.47
Si  0.5000  0.4345  0.0614  7 Ru 2.41-2.51
Si  0.0000  0.0395  0.7762  5 Ru 2.36-2.47
Si  0.0000  0.7367  0.9605  5 Ru 2.36-2.47
Si  0.0000  0.3333  0.6667  3 Ru 2.31
Si  0.5000  0.6269  0.5655  7 Ru 2.41-2.51
Ru  0.5000  0.5433  0.7673  5 Si 2.44-2.70
Ru  0.0000  0.4597  0.5162  4 Si 2.31-2.43
Ru  0.0000  0.9631  0.2309  4 Si 2.37-2.47, 1 Ru 2.64
Ru  0.5000  0.2327  0.7761  5 Si 2.44-2.70
Ru  0.5000  0.3895  0.2860  4 Si 2.41-2.51
Ru  0.5000  0.8965  0.6105  4 Si 2.41-2.51
Ru  0.0000  0.4838  0.9435  4 Si 2.31-2.43
Ru  0.5000  0.7140  0.1035  4 Si 2.41-2.51
Ru  0.5000  0.2239  0.4567  5 Si 2.44-2.70
Ru  0.0000  0.0565  0.5403  4 Si 2.31-2.43
Ru  0.0000  0.2678  0.0369  4 Si 2.37-2.47, 1 Ru 2.64
Ru  0.0000  0.7691  0.7322  4 Si 2.37-2.47, 1 Ru 2.64
Pu  0.5000  0.0000  0.0000  6 Si 3.07, 9 Ru 3.12-3.36
Pu  0.0000  0.6667  0.3333  6 Si 3.14, 12 Ru 3.16-3.45

=====

8.
## LaScCl2 (PBE-GGA)

Data for an optimized crystal structure of LaScCl2.

Properties
energy above the lowest structure with this stoichiometry = 187 meV/atom
calculated density = 4.3 g/cm3
ΔE_f (raw) = -1184 meV/atom

Unit cell a=3.6073 b=3.6073 c=9.0908 alpha=90.00 beta=90.00 gamma=123.85
Last column: nearest neighbours and their distance in Å.
Sites, in units of the cell vectors:
Cl  0.0000  0.0000  0.5223  2 Sc 2.68
Cl  0.0000  0.0000  0.9777  2 Sc 2.68
La  0.5000  0.5000  0.2500  4 Cl 3.00
Sc  0.5000  0.5000  0.7500  4 Cl 2.68

=====

9.
## Tb5PrBi5 (PBE-GGA)

Data for an optimized crystal structure of Tb5PrBi5.

Properties
calculated density = 8.7 g/cm3
DFT formation energy = -0.69 eV/atom

Unit cell a=6.3439 b=7.7099 c=8.9371 alpha=106.56 beta=90.00 gamma=114.29
Last column: nearest neighbours and their distance in Å.
Sites, in units of the cell vectors:
Tb  0.3383  0.6765  0.6647  5 Bi 3.12-3.17
Tb  0.6617  0.3235  0.3353  5 Bi 3.12-3.17
Tb  0.3341  0.6681  0.1679  5 Bi 3.14-3.17
Tb  0.6659  0.3319  0.8321  5 Bi 3.14-3.17
Tb  0.0000  0.0000  0.5000  4 Bi 3.13-3.17
Bi  0.1692  0.3384  0.3408  5 Tb 3.12-3.17, 1 Pr 3.23
Bi  0.5000  0.0000  0.0000  4 Tb 3.14, 2 Pr 3.17
Bi  0.8279  0.6559  0.1717  5 Tb 3.12-3.17, 1 Pr 3.24
Bi  0.1721  0.3441  0.8283  5 Tb 3.12-3.17, 1 Pr 3.24
Bi  0.8308  0.6616  0.6592  5 Tb 3.12-3.17, 1 Pr 3.23
Pr  0.0000  0.0000  0.0000  6 Bi 3.17-3.24

=====

10.
## Ta2PbW (PBE-GGA)

Data for an optimized crystal structure of Ta2PbW.

Properties
calculated density = 16.6 g/cm3
DFT formation energy = 0.64 eV/atom

Unit cell a=4.7432 b=4.7432 c=4.7432 alpha=60.00 beta=60.00 gamma=60.00
Last column: nearest neighbours and their distance in Å.
Sites, in units of the cell vectors:
Ta  0.0000  0.0000  0.0000  4 W 2.90, 4 Ta 2.90
Ta  0.2500  0.2500  0.2500  4 Ta 2.90, 4 Pb 2.90
Pb  0.5000  0.5000  0.5000  4 Ta 2.90, 4 W 2.90
W  0.7500  0.7500  0.7500  4 Ta 2.90, 4 Pb 2.90

=====

11.
## Ti6SiRu5 (PBE-GGA)

Data for an optimized crystal structure of Ti6SiRu5.

Properties
calculated density = 7.8 g/cm3
ΔE_f (raw) = -669 meV/atom

Unit cell a=4.3401 b=6.2065 c=7.5416 alpha=114.30 beta=106.72 gamma=90.00
Last column: nearest neighbours and their distance in Å.
Sites, in units of the cell vectors:
Si  0.0000  0.0000  0.0000  8 Ti 2.69
Ru  0.3361  0.8361  0.6722  8 Ti 2.66-2.68
Ru  0.6639  0.1639  0.3278  8 Ti 2.66-2.68
Ru  0.0000  0.5000  0.0000  8 Ti 2.65-2.68
Ru  0.3320  0.3320  0.6639  8 Ti 2.65-2.66
Ru  0.6680  0.6680  0.3361  8 Ti 2.65-2.66
Ti  0.5000  0.2558  0.0000  6 Ru 2.65-2.66, 2 Si 2.69
Ti  0.1679  0.4199  0.3358  7 Ru 2.65-2.68, 1 Si 2.69
Ti  0.8321  0.0842  0.6642  7 Ru 2.65-2.68, 1 Si 2.69
Ti  0.1679  0.9158  0.3358  7 Ru 2.65-2.68, 1 Si 2.69
Ti  0.5000  0.7442  0.0000  6 Ru 2.65-2.66, 2 Si 2.69
Ti  0.8321  0.5801  0.6642  7 Ru 2.65-2.68, 1 Si 2.69

=====

12.
## Hf3Re2Ru (PBE-GGA)

Data for an optimized crystal structure of Hf3Re2Ru.

Properties
calculated density = 16.0 g/cm3
DFT formation energy = -0.49 eV/atom

Unit cell a=3.2600 b=3.2600 c=9.8227 alpha=90.00 beta=90.00 gamma=90.00
Last column: nearest neighbours and their distance in Å.
Sites, in units of the cell vectors:
Hf  0.0000  0.0000  0.6658  4 Ru 2.82, 4 Re 2.82
Hf  0.0000  0.0000  0.0000  8 Re 2.84
Hf  0.0000  0.0000  0.3342  4 Ru 2.82, 4 Re 2.82
Ru  0.5000  0.5000  0.5000  8 Hf 2.82
Re  0.5000  0.5000  0.1683  8 Hf 2.82-2.84
Re  0.5000  0.5000  0.8317  8 Hf 2.82-2.84

=====

Q: Which density of states at the Fermi level values were calculated for the entries above? A: 2.46, 3.07, 1.24, 3.26, 2.65, 3.80, 34.91, 2.81, 3.95, 5.29, 7.83, 4.33, in states/eV/f.u..
Q: Which magnetization values were calculated for the entries above? A: 0.00, 0.42, 0.00, 0.00, 1.45, 0.00, 0.37, 0.00, 0.00, 0.00, 0.00, 0.00, in μB/atom.